1.
# Li2Sm2GaPd5 GGA-PBE relaxed
data_Li2Sm2GaPd5
_chemical_formula_sum 'Li4 Sm4 Ga2 Pd10'
_space_group_name_H-M_alt 'P 4/m b m'
_space_group_IT_number 127
_space_group_name_Hall '-P 4 2ab'
_cell_length_a 9.640
_cell_length_b 9.640
_cell_length_c 3.667
_cell_angle_alpha 90.00
_cell_angle_beta 90.00
_cell_angle_gamma 90.00
loop_
_atom_site_label
_atom_site_fract_x
_atom_site_fract_y
_atom_site_fract_z
Li1 0.121 0.379 0.000
Sm1 0.179 0.679 0.000
Ga1 0.000 0.000 0.000
Pd1 0.000 0.500 0.500
Pd2 0.064 0.204 0.500
# Spin magnetization   0.0 Bohr magnetons per cell
# VASP energy   -4.881 eV per atom
# Energy of formation from the pure elements   -6.55 eV/f.u.

2.
# K2AlGeSe4 GGA-PBE relaxed
data_K2AlGeSe4
_chemical_formula_sum 'K16 Al8 Ge8 Se32'
_space_group_name_H-M_alt 'F d d d'
_space_group_IT_number 70
_cell_length_a 6.279
_cell_length_b 14.168
_cell_length_c 23.371
_cell_angle_alpha 90.00
_cell_angle_beta 90.00
_cell_angle_gamma 90.00
loop_
_space_group_symop_operation_xyz
'x,y,z'
'-x,-y,-z'
'-x+1/4,-y+1/4,z'
'x+1/4,y+1/4,-z'
'x,-y+1/4,-z+1/4'
'-x,y+1/4,z+1/4'
'-x+1/4,y,-z+1/4'
'x+1/4,-y,z+1/4'
'x,y+1/2,z+1/2'
'-x,-y+1/2,-z+1/2'
'-x+1/4,-y+3/4,z+1/2'
'x+1/4,y+3/4,-z+1/2'
'x,-y+3/4,-z+3/4'
'-x,y+3/4,z+3/4'
'-x+1/4,y+1/2,-z+3/4'
'x+1/4,-y+1/2,z+3/4'
'x+1/2,y,z+1/2'
'-x+1/2,-y,-z+1/2'
'-x+3/4,-y+1/4,z+1/2'
'x+3/4,y+1/4,-z+1/2'
'x+1/2,-y+1/4,-z+3/4'
'-x+1/2,y+1/4,z+3/4'
'-x+3/4,y,-z+3/4'
'x+3/4,-y,z+3/4'
'x+1/2,y+1/2,z'
'-x+1/2,-y+1/2,-z'
'-x+3/4,-y+3/4,z'
'x+3/4,y+3/4,-z'
'x+1/2,-y+3/4,-z+1/4'
'-x+1/2,y+3/4,z+1/4'
'-x+3/4,y+1/2,-z+1/4'
'x+3/4,-y+1/2,z+1/4'
loop_
_atom_site_label
_atom_site_fract_x
_atom_site_fract_y
_atom_site_fract_z
K1 0.125 0.125 0.307
Al1 0.125 0.125 0.125
Ge1 0.125 0.125 0.625
Se1 0.107 0.276 0.431
# Formation energy without anion corrections   -0.84 eV per atom
# Spin magnetization   0.0 Bohr magnetons per cell
# VASP energy   -3.906 eV per atom

3.
# SrAl4Cu GGA-PBE relaxed
data_SrAl4Cu
_chemical_formula_sum 'Sr4 Al16 Cu4'
_space_group_name_H-M_alt 'F -4 3 m'
_space_group_IT_number 216
_space_group_name_Hall 'F -4 2 3'
_cell_length_a 7.884
_cell_length_b 7.884
_cell_length_c 7.884
_cell_angle_alpha 90.00
_cell_angle_beta 90.00
_cell_angle_gamma 90.00
loop_
_atom_site_label
_atom_site_fract_x
_atom_site_fract_y
_atom_site_fract_z
Sr1 0.000 0.000 0.000
Al1 0.125 0.125 0.625
Cu1 0.250 0.250 0.250
# Spin magnetization   0.0 Bohr magnetons per cell
# VASP energy   -3.357 eV per atom
# Energy of formation from the pure elements   0.61 eV/f.u.

4.
# Pm5Th2Mg GGA-PBE relaxed
data_Pm5Th2Mg
_chemical_formula_sum 'Pm10 Th4 Mg2'
_space_group_name_H-M_alt 'C m m m'
_space_group_IT_number 65
_space_group_name_Hall '-C 2 2'
_cell_length_a 9.917
_cell_length_b 14.483
_cell_length_c 3.630
_cell_angle_alpha 90.00
_cell_angle_beta 90.00
_cell_angle_gamma 90.00
loop_
_atom_site_label
_atom_site_fract_x
_atom_site_fract_y
_atom_site_fract_z
Pm1 0.000 0.000 0.000
Pm2 0.236 0.374 0.500
Th1 0.000 0.240 0.000
Mg1 0.000 0.500 0.000
# Spin magnetization   0.0 Bohr magnetons per cell
# VASP energy   -4.987 eV per atom
# Energy of formation from the pure elements   0.29 eV/f.u.

5.
# AlSb2Pt GGA-PBE relaxed
data_AlSb2Pt
_chemical_formula_sum 'Al2 Sb4 Pt2'
_space_group_name_H-M_alt 'I 4/m m m'
_space_group_IT_number 139
_space_group_name_Hall '-I 4 2'
_cell_length_a 4.655
_cell_length_b 4.655
_cell_length_c 7.778
_cell_angle_alpha 90.00
_cell_angle_beta 90.00
_cell_angle_gamma 90.00
loop_
_atom_site_label
_atom_site_fract_x
_atom_site_fract_y
_atom_site_fract_z
Al1 0.000 0.000 0.000
Sb1 0.000 0.500 0.250
Pt1 0.000 0.000 0.500
# Formation energy without anion corrections   0.09 eV per atom
# Spin magnetization   0.0 Bohr magnetons per cell
# VASP energy   -4.413 eV per atom

6.
# ErZr2Zn3 GGA-PBE relaxed
data_ErZr2Zn3
_chemical_formula_sum 'Er1 Zr2 Zn3'
_space_group_name_H-M_alt 'P 4/m m m'
_space_group_IT_number 123
_space_group_name_Hall '-P 4 2'
_cell_length_a 3.419
_cell_length_b 3.419
_cell_length_c 10.100
_cell_angle_alpha 90.00
_cell_angle_beta 90.00
_cell_angle_gamma 90.00
loop_
_atom_site_label
_atom_site_fract_x
_atom_site_fract_y
_atom_site_fract_z
Er1 0.000 0.000 0.000
Zr1 0.000 0.000 0.339
Zn1 0.500 0.500 0.182
Zn2 0.500 0.500 0.500
# Spin magnetization   0.0 Bohr magnetons per cell
# VASP energy   -4.530 eV per atom
# Energy of formation from the pure elements   -1.70 eV/f.u.

7.
# Pr3Sm6Er2Mg GGA-PBE relaxed
data_Pr3Sm6Er2Mg
_chemical_formula_sum 'Pr6 Sm12 Er4 Mg2'
_space_group_name_H-M_alt 'C 1 2/m 1'
_space_group_IT_number 12
_cell_length_a 6.264
_cell_length_b 10.866
_cell_length_c 11.858
_cell_angle_alpha 90.00
_cell_angle_beta 100.24
_cell_angle_gamma 90.00
loop_
_space_group_symop_operation_xyz
'x,y,z'
'-x,-y,-z'
'-x,y,-z'
'x,-y,z'
'x+1/2,y+1/2,z'
'-x+1/2,-y+1/2,-z'
'-x+1/2,y+1/2,-z'
'x+1/2,-y+1/2,z'
loop_
_atom_site_label
_atom_site_fract_x
_atom_site_fract_y
_atom_site_fract_z
Pr1 0.000 0.000 0.000
Pr2 0.000 0.333 0.000
Sm1 0.246 0.334 0.742
Sm2 0.248 0.000 0.744
Er1 0.000 0.166 0.500
Mg1 0.000 0.500 0.500
# Spin magnetization   0.0 Bohr magnetons per cell
# VASP energy   -4.414 eV per atom
# Energy of formation from the pure elements   0.40 eV/f.u.

8.
# HfHgSbI2 GGA-PBE relaxed
data_HfHgSbI2
_chemical_formula_sum 'Hf1 Hg1 Sb1 I2'
_space_group_name_H-M_alt 'P 4/m m m'
_space_group_IT_number 123
_space_group_name_Hall '-P 4 2'
_cell_length_a 5.717
_cell_length_b 5.717
_cell_length_c 5.656
_cell_angle_alpha 90.00
_cell_angle_beta 90.00
_cell_angle_gamma 90.00
loop_
_atom_site_label
_atom_site_fract_x
_atom_site_fract_y
_atom_site_fract_z
Hf1 0.000 0.000 0.000
Hg1 0.500 0.500 0.500
Sb1 0.000 0.000 0.500
I1 0.000 0.500 0.000
# Formation energy without anion corrections   -0.12 eV per atom
# Spin magnetization   0.0 Bohr magnetons per cell
# VASP energy   -3.613 eV per atom
# Energy relative to the lowest polymorph listed for this composition   0 meV/atom

9.
# LiTaAs2 GGA-PBE relaxed
data_LiTaAs2
_chemical_formula_sum 'Li4 Ta4 As8'
_space_group_name_H-M_alt 'F m -3 m'
_space_group_IT_number 225
_space_group_name_Hall '-F 4 2 3'
_cell_length_a 6.465
_cell_length_b 6.465
_cell_length_c 6.465
_cell_angle_alpha 90.00
_cell_angle_beta 90.00
_cell_angle_gamma 90.00
loop_
_atom_site_label
_atom_site_fract_x
_atom_site_fract_y
_atom_site_fract_z
Li1 0.000 0.000 0.000
Ta1 0.000 0.000 0.500
As1 0.250 0.250 0.250
# Spin magnetization   2.3 Bohr magnetons per cell
# VASP energy   -5.895 eV per atom
# Energy relative to the lowest polymorph listed for this composition   307 meV/atom
# Energy of formation from the pure elements   -0.51 eV/f.u.

10.
# TbCeCl6 GGA-PBE relaxed
data_TbCeCl6
_chemical_formula_sum 'Tb2 Ce2 Cl12'
_space_group_name_H-M_alt 'C 1 2/m 1'
_space_group_IT_number 12
_cell_length_a 6.823
_cell_length_b 12.289
_cell_length_c 6.822
_cell_angle_alpha 90.00
_cell_angle_beta 105.39
_cell_angle_gamma 90.00
loop_
_space_group_symop_operation_xyz
'x,y,z'
'-x,-y,-z'
'-x,y,-z'
'x,-y,z'
'x+1/2,y+1/2,z'
'-x+1/2,-y+1/2,-z'
'-x+1/2,y+1/2,-z'
'x+1/2,-y+1/2,z'
loop_
_atom_site_label
_atom_site_fract_x
_atom_site_fract_y
_atom_site_fract_z
Tb1 0.000 0.000 0.000
Ce1 0.000 0.500 0.500
Cl1 0.239 0.145 0.244
Cl2 0.249 0.000 0.759
# Formation energy without anion corrections   -2.21 eV per atom
# Spin magnetization   2.0 Bohr magnetons per cell
# VASP energy   -4.919 eV per atom

11.
# TlRh2Br GGA-PBE relaxed
data_TlRh2Br
_chemical_formula_sum 'Tl1 Rh2 Br1'
_space_group_name_H-M_alt 'P m m m'
_space_group_IT_number 47
_cell_length_a 3.133
_cell_length_b 4.456
_cell_length_c 5.438
_cell_angle_alpha 90.00
_cell_angle_beta 90.00
_cell_angle_gamma 90.00
loop_
_space_group_symop_operation_xyz
'x,y,z'
'-x,-y,-z'
'-x,-y,z'
'x,y,-z'
'x,-y,-z'
'-x,y,z'
'-x,y,-z'
'x,-y,z'
loop_
_atom_site_label
_atom_site_fract_x
_atom_site_fract_y
_atom_site_fract_z
Tl1 0.000 0.000 0.000
Rh1 0.000 0.500 0.500
Rh2 0.500 0.500 0.000
Br1 0.500 0.000 0.500
# Formation energy without anion corrections   0.42 eV per atom
# Spin magnetization   0.0 Bohr magnetons per cell
# VASP energy   -4.261 eV per atom
# Energy relative to the lowest polymorph listed for this composition   187 meV/atom

12.
# Li2Cd5Pd2 GGA-PBE relaxed
data_Li2Cd5Pd2
_chemical_formula_sum 'Li8 Cd20 Pd8'
_space_group_name_H-M_alt 'C 1 c 1'
_space_group_IT_number 9
_cell_length_a 17.832
_cell_length_b 5.040
_cell_length_c 7.644
_cell_angle_alpha 90.00
_cell_angle_beta 107.90
_cell_angle_gamma 90.00
loop_
_space_group_symop_operation_xyz
'x,y,z'
'x,-y,z+1/2'
'x+1/2,y+1/2,z'
'x+1/2,-y+1/2,z+1/2'
loop_
_atom_site_label
_atom_site_fract_x
_atom_site_fract_y
_atom_site_fract_z
Li1 0.000 0.163 0.000
Li2 0.209 0.169 0.549
Cd1 0.050 0.330 0.396
Cd2 0.159 0.304 0.168
Cd3 0.269 0.320 0.935
Cd4 0.334 0.166 0.334
Cd5 0.391 0.335 0.719
Pd1 0.106 0.184 0.780
Pd2 0.439 0.170 0.108
# Spin magnetization   0.0 Bohr magnetons per cell
# VASP energy   -2.395 eV per atom
# Energy relative to the lowest polymorph listed for this composition   0 meV/atom
# Energy of formation from the pure elements   -2.76 eV/f.u.